1.
# AcGdHoAl (PBE, optimized geometry)
data_AcGdHoAl
_chemical_formula_sum 'Ac1 Gd1 Ho1 Al1'
_cell_length_a 5.557
_cell_length_b 5.557
_cell_length_c 5.557
_cell_angle_alpha 60.00
_cell_angle_beta 60.00
_cell_angle_gamma 60.00
_space_group_name_H-M_alt 'P 1'
_space_group_IT_number 1
_space_group_name_Hall 'P 1'
loop_
_atom_site_label
_atom_site_type_symbol
_atom_site_fract_x
_atom_site_fract_y
_atom_site_fract_z
Ho1 Ho 0.750 0.750 0.750
Ac1 Ac 0.500 0.500 0.500
Gd1 Gd 0.000 0.000 0.000
Al1 Al 0.250 0.250 0.250
# Fermi-level density of states in states/eV/f.u.: 4.8
# Space-group type: F-43m
# Formation energy in eV per atom: -0.02

2.
# AcGdAlIr (PBE, optimized geometry)
data_AcGdAlIr
_chemical_formula_sum 'Ac1 Gd1 Al1 Ir1'
_cell_length_a 5.226
_cell_length_b 5.226
_cell_length_c 5.226
_cell_angle_alpha 60.00
_cell_angle_beta 60.00
_cell_angle_gamma 60.00
_space_group_name_H-M_alt 'P 1'
_space_group_IT_number 1
_space_group_name_Hall 'P 1'
loop_
_atom_site_label
_atom_site_type_symbol
_atom_site_fract_x
_atom_site_fract_y
_atom_site_fract_z
Al1 Al 0.500 0.500 0.500
Ir1 Ir 0.000 0.000 0.000
Gd1 Gd 0.750 0.750 0.750
Ac1 Ac 0.250 0.250 0.250
# Fermi-level density of states in states/eV/f.u.: 4.1
# Space-group type: F-43m
# Formation energy in eV per atom: -0.33

3.
# LiAcGdAl (PBE, optimized geometry)
data_LiAcGdAl
_chemical_formula_sum 'Li1 Ac1 Gd1 Al1'
_cell_length_a 5.424
_cell_length_b 5.424
_cell_length_c 5.424
_cell_angle_alpha 60.00
_cell_angle_beta 60.00
_cell_angle_gamma 60.00
_space_group_name_H-M_alt 'P 1'
_space_group_IT_number 1
_space_group_name_Hall 'P 1'
loop_
_atom_site_label
_atom_site_type_symbol
_atom_site_fract_x
_atom_site_fract_y
_atom_site_fract_z
Gd1 Gd 0.750 0.750 0.750
Al1 Al 0.500 0.500 0.500
Ac1 Ac 0.250 0.250 0.250
Li1 Li 0.000 0.000 0.000
# Fermi-level density of states in states/eV/f.u.: 4.5
# Space-group type: F-43m
# Formation energy in eV per atom: -0.14

4.
# AcGdLuAl (PBE, optimized geometry)
data_AcGdLuAl
_chemical_formula_sum 'Ac1 Gd1 Lu1 Al1'
_cell_length_a 5.531
_cell_length_b 5.531
_cell_length_c 5.531
_cell_angle_alpha 60.00
_cell_angle_beta 60.00
_cell_angle_gamma 60.00
_space_group_name_H-M_alt 'P 1'
_space_group_IT_number 1
_space_group_name_Hall 'P 1'
loop_
_atom_site_label
_atom_site_type_symbol
_atom_site_fract_x
_atom_site_fract_y
_atom_site_fract_z
Al1 Al 0.750 0.750 0.750
Lu1 Lu 0.250 0.250 0.250
Gd1 Gd 0.000 0.000 0.000
Ac1 Ac 0.500 0.500 0.500
# Fermi-level density of states in states/eV/f.u.: 5.0
# Space-group type: F-43m
# Formation energy in eV per atom: -0.03

5.
# NaAcGdAl (PBE, optimized geometry)
data_NaAcGdAl
_chemical_formula_sum 'Na1 Ac1 Gd1 Al1'
_cell_length_a 5.556
_cell_length_b 5.556
_cell_length_c 5.556
_cell_angle_alpha 60.00
_cell_angle_beta 60.00
_cell_angle_gamma 60.00
_space_group_name_H-M_alt 'P 1'
_space_group_IT_number 1
_space_group_name_Hall 'P 1'
loop_
_atom_site_label
_atom_site_type_symbol
_atom_site_fract_x
_atom_site_fract_y
_atom_site_fract_z
Al1 Al 0.500 0.500 0.500
Gd1 Gd 0.750 0.750 0.750
Ac1 Ac 0.250 0.250 0.250
Na1 Na 0.000 0.000 0.000
# Fermi-level density of states in states/eV/f.u.: 4.2
# Space-group type: F-43m
# Formation energy in eV per atom: -0.02

6.
# AcNdGdAl (PBE, optimized geometry)
data_AcNdGdAl
_chemical_formula_sum 'Ac1 Nd1 Gd1 Al1'
_cell_length_a 5.623
_cell_length_b 5.623
_cell_length_c 5.623
_cell_angle_alpha 60.00
_cell_angle_beta 60.00
_cell_angle_gamma 60.00
_space_group_name_H-M_alt 'P 1'
_space_group_IT_number 1
_space_group_name_Hall 'P 1'
loop_
_atom_site_label
_atom_site_type_symbol
_atom_site_fract_x
_atom_site_fract_y
_atom_site_fract_z
Gd1 Gd 0.500 0.500 0.500
Ac1 Ac 0.750 0.750 0.750
Al1 Al 0.000 0.000 0.000
Nd1 Nd 0.250 0.250 0.250
# Fermi-level density of states in states/eV/f.u.: 6.3
# Space-group type: F-43m
# Formation energy in eV per atom: -0.02

7.
# AcGdAlPb (PBE, optimized geometry)
data_AcGdAlPb
_chemical_formula_sum 'Ac1 Gd1 Al1 Pb1'
_cell_length_a 5.562
_cell_length_b 5.562
_cell_length_c 5.562
_cell_angle_alpha 60.00
_cell_angle_beta 60.00
_cell_angle_gamma 60.00
_space_group_name_H-M_alt 'P 1'
_space_group_IT_number 1
_space_group_name_Hall 'P 1'
loop_
_atom_site_label
_atom_site_type_symbol
_atom_site_fract_x
_atom_site_fract_y
_atom_site_fract_z
Pb1 Pb 0.250 0.250 0.250
Ac1 Ac 0.500 0.500 0.500
Al1 Al 0.750 0.750 0.750
Gd1 Gd 0.000 0.000 0.000
# Fermi-level density of states in states/eV/f.u.: 4.3
# Space-group type: F-43m
# Formation energy in eV per atom: -0.31

8.
# AcPmGdAl (PBE, optimized geometry)
data_AcPmGdAl
_chemical_formula_sum 'Ac1 Pm1 Gd1 Al1'
_cell_length_a 5.610
_cell_length_b 5.610
_cell_length_c 5.610
_cell_angle_alpha 60.00
_cell_angle_beta 60.00
_cell_angle_gamma 60.00
_space_group_name_H-M_alt 'P 1'
_space_group_IT_number 1
_space_group_name_Hall 'P 1'
loop_
_atom_site_label
_atom_site_type_symbol
_atom_site_fract_x
_atom_site_fract_y
_atom_site_fract_z
Gd1 Gd 0.500 0.500 0.500
Al1 Al 0.750 0.750 0.750
Ac1 Ac 0.000 0.000 0.000
Pm1 Pm 0.250 0.250 0.250
# Fermi-level density of states in states/eV/f.u.: 4.8
# Space-group type: F-43m
# Formation energy in eV per atom: 0.01

9.
# AcGdAlPt (PBE, optimized geometry)
data_AcGdAlPt
_chemical_formula_sum 'Ac1 Gd1 Al1 Pt1'
_cell_length_a 5.293
_cell_length_b 5.293
_cell_length_c 5.293
_cell_angle_alpha 60.00
_cell_angle_beta 60.00
_cell_angle_gamma 60.00
_space_group_name_H-M_alt 'P 1'
_space_group_IT_number 1
_space_group_name_Hall 'P 1'
loop_
_atom_site_label
_atom_site_type_symbol
_atom_site_fract_x
_atom_site_fract_y
_atom_site_fract_z
Al1 Al 0.750 0.750 0.750
Gd1 Gd 0.500 0.500 0.500
Pt1 Pt 0.250 0.250 0.250
Ac1 Ac 0.000 0.000 0.000
# Fermi-level density of states in states/eV/f.u.: 3.5
# Space-group type: F-43m
# Formation energy in eV per atom: -0.57

10.
# AcGdAlRh (PBE, optimized geometry)
data_AcGdAlRh
_chemical_formula_sum 'Ac1 Gd1 Al1 Rh1'
_cell_length_a 5.242
_cell_length_b 5.242
_cell_length_c 5.242
_cell_angle_alpha 60.00
_cell_angle_beta 60.00
_cell_angle_gamma 60.00
_space_group_name_H-M_alt 'P 1'
_space_group_IT_number 1
_space_group_name_Hall 'P 1'
loop_
_atom_site_label
_atom_site_type_symbol
_atom_site_fract_x
_atom_site_fract_y
_atom_site_fract_z
Gd1 Gd 0.750 0.750 0.750
Al1 Al 0.500 0.500 0.500
Rh1 Rh 0.000 0.000 0.000
Ac1 Ac 0.250 0.250 0.250
# Fermi-level density of states in states/eV/f.u.: 3.5
# Space-group type: F-43m
# Formation energy in eV per atom: -0.36

11.
# AcGdScAl (PBE, optimized geometry)
data_AcGdScAl
_chemical_formula_sum 'Ac1 Gd1 Sc1 Al1'
_cell_length_a 5.458
_cell_length_b 5.458
_cell_length_c 5.458
_cell_angle_alpha 60.00
_cell_angle_beta 60.00
_cell_angle_gamma 60.00
_space_group_name_H-M_alt 'P 1'
_space_group_IT_number 1
_space_group_name_Hall 'P 1'
loop_
_atom_site_label
_atom_site_type_symbol
_atom_site_fract_x
_atom_site_fract_y
_atom_site_fract_z
Gd1 Gd 0.500 0.500 0.500
Ac1 Ac 0.000 0.000 0.000
Sc1 Sc 0.750 0.750 0.750
Al1 Al 0.250 0.250 0.250
# Fermi-level density of states in states/eV/f.u.: 4.5
# Space-group type: F-43m
# Formation energy in eV per atom: -0.04

12.
# AcSmGdAl (PBE, optimized geometry)
data_AcSmGdAl
_chemical_formula_sum 'Ac1 Sm1 Gd1 Al1'
_cell_length_a 5.599
_cell_length_b 5.599
_cell_length_c 5.599
_cell_angle_alpha 60.00
_cell_angle_beta 60.00
_cell_angle_gamma 60.00
_space_group_name_H-M_alt 'P 1'
_space_group_IT_number 1
_space_group_name_Hall 'P 1'
loop_
_atom_site_label
_atom_site_type_symbol
_atom_site_fract_x
_atom_site_fract_y
_atom_site_fract_z
Gd1 Gd 0.750 0.750 0.750
Ac1 Ac 0.000 0.000 0.000
Al1 Al 0.250 0.250 0.250
Sm1 Sm 0.500 0.500 0.500
# Fermi-level density of states in states/eV/f.u.: 6.4
# Space-group type: F-43m
# Formation energy in eV per atom: -0.02

13.
# Ac3Al9Ge2 (PBE, optimized geometry)
data_Ac3Al9Ge2
_chemical_formula_sum 'Ac3 Al9 Ge2'
_cell_length_a 4.646
_cell_length_b 8.754
_cell_length_c 8.754
_cell_angle_alpha 70.93
_cell_angle_beta 74.61
_cell_angle_gamma 74.61
_space_group_name_H-M_alt 'P 1'
_space_group_IT_number 1
_space_group_name_Hall 'P 1'
loop_
_atom_site_label
_atom_site_type_symbol
_atom_site_fract_x
_atom_site_fract_y
_atom_site_fract_z
Ge1 Ge 0.500 0.724 0.276
Al1 Al 0.142 0.588 0.127
Al2 Al 0.334 0.031 0.300
Al3 Al 0.666 0.969 0.700
Al4 Al 0.858 0.412 0.873
Ac1 Ac 0.682 0.318 0.318
Al5 Al 0.666 0.700 0.969
Al6 Al 0.334 0.300 0.031
Al7 Al 0.142 0.127 0.588
Ac2 Ac 0.000 0.000 0.000
Ge2 Ge 0.500 0.276 0.724
Ac3 Ac 0.318 0.682 0.682
Al8 Al 0.858 0.873 0.412
Al9 Al 0.000 0.500 0.500
# Fermi-level density of states in states/eV/f.u.: 4.6
# Space-group type: Immm
# Formation energy in eV per atom: -0.30

14.
# Ac12AlGe6 (PBE, optimized geometry)
data_Ac12AlGe6
_chemical_formula_sum 'Ac12 Al1 Ge6'
_cell_length_a 9.563
_cell_length_b 9.563
_cell_length_c 9.563
_cell_angle_alpha 109.47
_cell_angle_beta 109.47
_cell_angle_gamma 109.47
_space_group_name_H-M_alt 'P 1'
_space_group_IT_number 1
_space_group_name_Hall 'P 1'
loop_
_atom_site_label
_atom_site_type_symbol
_atom_site_fract_x
_atom_site_fract_y
_atom_site_fract_z
Ge1 Ge 0.500 0.115 0.615
Ac1 Ac 0.813 0.296 0.109
Ac2 Ac 0.813 0.704 0.516
Ac3 Ac 0.109 0.813 0.296
Ac4 Ac 0.187 0.296 0.484
Ac5 Ac 0.704 0.516 0.813
Ac6 Ac 0.187 0.704 0.891
Ac7 Ac 0.891 0.187 0.704
Ac8 Ac 0.516 0.813 0.704
Ac9 Ac 0.296 0.484 0.187
Ge2 Ge 0.385 0.500 0.885
Al1 Al 0.000 0.000 0.000
Ge3 Ge 0.885 0.385 0.500
Ge4 Ge 0.615 0.500 0.115
Ge5 Ge 0.500 0.885 0.385
Ac10 Ac 0.704 0.891 0.187
Ge6 Ge 0.115 0.615 0.500
Ac11 Ac 0.484 0.187 0.296
Ac12 Ac 0.296 0.109 0.813
# Fermi-level density of states in states/eV/f.u.: 11.5
# Space-group type: Im-3
# Formation energy in eV per atom: -0.47